Record 1
A plane-wave DFT calculation with PBE-GGA was carried out for a geometry-optimized SrLiMo structure.

Cell: 4.244 4.244 34.840 Å, 90.00 90.00 120.00°
Last column: magnetic moment on the atom in μB.
Positions (direct):
Sr (0.000, 0.000, 0.219)  0.00
Sr (0.333, 0.667, 0.886)  0.00
Mo (0.333, 0.667, 0.480)  0.01
Li (0.667, 0.333, 0.305)  0.01
Sr (0.667, 0.333, 0.553)  0.00
Li (0.000, 0.000, 0.972)  0.01
Li (0.000, 0.000, 0.110)  0.01
Li (0.667, 0.333, 0.443)  0.01
Li (0.333, 0.667, 0.638)  0.01
Mo (0.667, 0.333, 0.147)  0.01
Sr (0.667, 0.333, 0.715)  0.06
Mo (0.667, 0.333, 0.815)  0.03
Sr (0.000, 0.000, 0.382)  0.06
Mo (0.000, 0.000, 0.814)  0.01
Mo (0.000, 0.000, 0.482)  0.03
Sr (0.333, 0.667, 0.049)  0.06
Mo (0.333, 0.667, 0.149)  0.03
Li (0.333, 0.667, 0.776)  0.01

Summary:
* space-group type: R3m, No. 160
* excess energy over the best structure of this formula in the dataset: 0.040 eV per atom
* formation energy from the elements: 416 meV per atom
* DOS(E_F): 14.09 states/eV/cell
* calculated total energy: -79.08 eV/cell

=====

Record 2
A plane-wave DFT calculation with PBE-GGA was carried out for a geometry-optimized ZnSeBr2 structure.

Cell: 3.231 3.229 11.305 Å, 90.00 90.00 90.00°
Positions (direct):
Br (0.000, 0.000, 0.604)
Zn (0.500, 0.500, 0.750)
Br (0.000, 0.000, 0.896)
Se (0.500, 0.500, 0.250)

Summary:
* space-group type: P4/mmm, No. 123
* excess energy over the best structure of this formula in the dataset: 0.592 eV per atom
* ΔE_f (raw): 0.15 eV per atom
* DOS(E_F): 2.66 states/eV/cell
* calculated total energy: -7.49 eV/cell

=====

Record 3
A plane-wave DFT calculation with PBE-GGA was carried out for a geometry-optimized Pm4NdSmEr2 structure.

Cell: 3.622 6.250 11.981 Å, 79.90 90.00 90.00°
Positions (direct):
Pm (0.500, 0.751, 0.249)
Sm (0.000, 0.500, 0.500)
Er (0.500, 0.000, 0.500)
Pm (0.000, 0.752, 0.748)
Pm (0.000, 0.248, 0.252)
Nd (0.500, 0.500, 0.000)
Er (0.000, 0.000, 0.000)
Pm (0.500, 0.249, 0.751)

Summary:
* space-group type: P2/m, No. 10
* formation energy from the elements: 17 meV per atom
* DOS(E_F): 11.24 states/eV/cell
* calculated total energy: -37.48 eV/cell

=====

Record 4
A plane-wave DFT calculation with PBE-GGA was carried out for a geometry-optimized Li3Hg5 structure.

Cell: 6.055 6.055 4.528 Å, 90.00 90.00 97.21°
Positions (direct):
Hg (0.000, 0.500, 0.000)
Li (0.224, 0.776, 0.500)
Hg (0.000, 0.000, 0.000)
Li (0.776, 0.224, 0.500)
Hg (0.706, 0.706, 0.500)
Li (0.500, 0.500, 0.000)
Hg (0.500, 0.000, 0.000)
Hg (0.294, 0.294, 0.500)

Summary:
* space-group type: Cmmm, No. 65
* excess energy over the best structure of this formula in the dataset: 0.030 eV per atom
* formation energy from the elements: -256 meV per atom
* DOS(E_F): 3.05 states/eV/cell
* calculated total energy: -9.30 eV/cell

=====

Record 5
A plane-wave DFT calculation with PBE-GGA was carried out for a geometry-optimized Ac7OsI12 structure.

Cell: 12.205 10.573 10.573 Å, 106.14 112.63 112.63°
Positions (direct):
I (0.329, 0.397, 0.549)
I (0.623, 0.787, 0.084)
I (0.780, 0.451, 0.848)
I (0.835, 0.297, 0.213)
Ac (0.500, 0.000, 0.000)
Ac (0.985, 0.083, 0.282)
I (0.932, 0.152, 0.603)
I (0.671, 0.603, 0.451)
Ac (0.902, 0.199, 0.917)
I (0.220, 0.549, 0.152)
Ac (0.015, 0.917, 0.718)
I (0.377, 0.213, 0.916)
Ac (0.703, 0.718, 0.801)
I (0.068, 0.848, 0.397)
Ac (0.297, 0.282, 0.199)
I (0.165, 0.703, 0.787)
I (0.462, 0.084, 0.297)
I (0.538, 0.916, 0.703)
Os (0.000, 0.000, 0.000)
Ac (0.098, 0.801, 0.083)

Summary:
* space-group type: R-3, No. 148
* ΔE_f (raw): -1.29 eV per atom
* DOS(E_F): 11.95 states/eV/cell
* calculated total energy: -84.39 eV/cell

=====

Record 6
A plane-wave DFT calculation with PBE-GGA was carried out for a geometry-optimized KTcIr3 structure.

Cell: 4.565 4.565 4.565 Å, 90.00 90.00 90.00°
Positions (direct):
Tc (0.500, 0.500, 0.500)
Ir (0.500, 0.000, 0.000)
Ir (0.000, 0.000, 0.500)
Ir (0.000, 0.500, 0.000)
K (0.000, 0.000, 0.000)

Summary:
* space-group type: Pm-3m, No. 221
* excess energy over the best structure of this formula in the dataset: 2.124 eV per atom
* formation energy from the elements: 3440 meV per atom
* DOS(E_F): 12.75 states/eV/cell
* calculated total energy: -20.85 eV/cell

=====

Record 7
A plane-wave DFT calculation with PBE-GGA was carried out for a geometry-optimized CdW4Cl2 structure.

Cell: 4.868 4.868 7.158 Å, 70.12 70.12 90.00°
Last column: magnetic moment on the atom in μB.
Positions (direct):
Cl (0.394, 0.394, 0.212)  -0.02
Cd (0.000, 0.000, 0.000)  0.00
W (0.214, 0.214, 0.571)  -0.71
W (0.000, 0.500, 0.000)  0.85
Cl (0.606, 0.606, 0.788)  -0.02
W (0.786, 0.786, 0.429)  -0.71
W (0.500, 0.000, 0.000)  0.85

Summary:
* space-group type: I4/mmm, No. 139
* ΔE_f (raw): 2.67 eV per atom
* DOS(E_F): 8.00 states/eV/cell
* calculated total energy: -37.77 eV/cell

=====

Record 8
A plane-wave DFT calculation with PBE-GGA was carried out for a geometry-optimized Tb6Ce2Th structure.

Cell: 9.913 9.913 3.559 Å, 94.32 94.32 124.90°
Last column: magnetic moment on the atom in μB.
Positions (direct):
Ce (0.164, 0.836, 0.500)  0.70
Ce (0.836, 0.164, 0.500)  0.70
Tb (0.332, 0.332, 0.664)  0.01
Tb (0.835, 0.499, 0.832)  0.08
Th (0.000, 0.000, 0.000)  0.07
Tb (0.501, 0.165, 0.168)  0.08
Tb (0.499, 0.835, 0.832)  0.08
Tb (0.165, 0.501, 0.168)  0.08
Tb (0.668, 0.668, 0.336)  0.01

Summary:
* space-group type: C2/m, No. 12
* formation energy from the elements: 153 meV per atom
* DOS(E_F): 21.05 states/eV/cell
* calculated total energy: -45.70 eV/cell